Version w
Here is a relaxed structure of TlHg2Pt from Alexandria. Energies are from PBE-GGA.

Results
N(E_F), states/eV/atom: 0.33

Cell: 10.9632 10.9632 10.9632 Å, 157.87 157.87 31.50°
Closest atoms and distances in Å follow each position.
Atoms (fractional coordinates):
Tl1 0.0000 0.0000 0.0000  4 Pt 2.98, 4 Hg 3.05
Tl2 0.7500 0.2500 0.5000  4 Pt 2.98, 4 Hg 3.05
Hg1 0.1417 0.6250 0.0167  4 Hg 2.88-3.08, 2 Pt 3.00, 2 Tl 3.05
Hg2 0.3750 0.3917 0.5167  4 Hg 2.88-3.08, 2 Pt 3.00, 2 Tl 3.05
Hg3 0.6083 0.1250 0.9833  4 Hg 2.88-3.08, 2 Pt 3.00, 2 Tl 3.05
Hg4 0.8750 0.8583 0.4833  4 Hg 2.88-3.08, 2 Pt 3.00, 2 Tl 3.05
Pt1 0.2500 0.7500 0.5000  4 Tl 2.98, 4 Hg 3.00
Pt2 0.5000 0.5000 0.0000  4 Tl 2.98, 4 Hg 3.00

***

Version x
Here is a relaxed structure of TlHg2Pt from Alexandria. Energies are from PBE-GGA.

Results
N(E_F), states/eV/atom: 0.36

Cell: 6.9389 6.9389 4.7448 Å, 109.35 109.35 25.79°
Closest atoms and distances in Å follow each position.
Atoms (fractional coordinates):
Tl1 0.0000 0.0000 0.0000  4 Pt 2.83, 2 Tl 3.10
Hg1 0.2013 0.2013 0.7028  2 Pt 2.99, 6 Hg 3.09-3.10
Hg2 0.7987 0.7987 0.2972  2 Pt 2.99, 6 Hg 3.09-3.10
Pt1 0.5000 0.5000 0.5000  4 Tl 2.83, 4 Hg 2.99, 2 Pt 3.10

***

Version y
Here is a relaxed structure of TlHg2Pt from Alexandria. Energies are from PBE-GGA.

Results
N(E_F), states/eV/atom: 0.32

Cell: 5.4044 5.4044 5.4044 Å, 131.39 131.39 71.20°
Closest atoms and distances in Å follow each position.
Atoms (fractional coordinates):
Tl1 0.0000 0.0000 0.0000  8 Hg 3.13, 4 Pt 3.15
Hg1 0.2500 0.7500 0.5000  4 Tl 3.13, 4 Pt 3.13, 4 Hg 3.15
Hg2 0.7500 0.2500 0.5000  4 Tl 3.13, 4 Pt 3.13, 4 Hg 3.15
Pt1 0.5000 0.5000 0.0000  8 Hg 3.13, 4 Tl 3.15

***

Which of them is the most stable, and which is the least stable? version x and version y, in that order.